Below is an optimized crystal structure of TaCr, with properties calculated at the PBE-GGA level.

Properties
The value obtained for the total energy is -10.451 eV/atom. The space-group type is I4/mmm. The value obtained for the total magnetization is 0.0 μB/f.u. The density of states at the Fermi level is 0.766 states/eV per atom. The value obtained for the formation enthalpy at 0 K is 0.2869 eV/atom.

The structure in CIF format:
```
data_TaCr
_symmetry_space_group_name_H-M 'P 1'
_symmetry_Int_Tables_number 1
_cell_length_a 7.4673
_cell_length_b 7.4673
_cell_length_c 4.4754
_cell_angle_alpha 90.00
_cell_angle_beta 90.00
_cell_angle_gamma 90.00
loop_
_symmetry_equiv_pos_as_xyz
'x,y,z'
loop_
_atom_site_label
_atom_site_fract_x
_atom_site_fract_y
_atom_site_fract_z
Ta1 0.8010 0.5000 0.0000
Ta2 0.1990 0.5000 0.0000
Ta3 0.5000 0.1990 0.0000
Ta4 0.5000 0.8010 0.0000
Ta5 0.3010 0.0000 0.5000
Ta6 0.6990 0.0000 0.5000
Ta7 0.0000 0.6990 0.5000
Ta8 0.0000 0.3010 0.5000
Cr1 0.1548 0.1548 0.0000
Cr2 0.1548 0.8452 0.0000
Cr3 0.8452 0.1548 0.0000
Cr4 0.8452 0.8452 0.0000
Cr5 0.6548 0.6548 0.5000
Cr6 0.6548 0.3452 0.5000
Cr7 0.3452 0.6548 0.5000
Cr8 0.3452 0.3452 0.5000
```

=====

Below is an optimized crystal structure of TaCr, with properties calculated at the PBE-GGA level.

Properties
The value obtained for the total energy is -10.626 eV/atom. The space-group type is P2_1/m. The value obtained for the total magnetization is 0.0 μB/f.u. The density of states at the Fermi level is 0.857 states/eV per atom. The value obtained for the formation enthalpy at 0 K is 0.1124 eV/atom.

The structure in CIF format:
```
data_TaCr
_symmetry_space_group_name_H-M 'P 1'
_symmetry_Int_Tables_number 1
_cell_length_a 2.8211
_cell_length_b 4.2955
_cell_length_c 5.0626
_cell_angle_alpha 90.00
_cell_angle_beta 101.18
_cell_angle_gamma 90.00
loop_
_symmetry_equiv_pos_as_xyz
'x,y,z'
loop_
_atom_site_label
_atom_site_fract_x
_atom_site_fract_y
_atom_site_fract_z
Cr1 0.6145 0.2500 0.3787
Cr2 0.3855 0.7500 0.6213
Ta1 0.1366 0.2500 0.8600
Ta2 0.8634 0.7500 0.1400
```

=====

Below is an optimized crystal structure of TaCr, with properties calculated at the PBE-GGA level.

Properties
The value obtained for the total energy is -8.509 eV/atom. The space-group type is I-43m. The value obtained for the total magnetization is 3.0 μB/f.u. The density of states at the Fermi level is 1.685 states/eV per atom. The value obtained for the formation enthalpy at 0 K is 2.2292 eV/atom.

The structure in CIF format:
```
data_TaCr
_symmetry_space_group_name_H-M 'P 1'
_symmetry_Int_Tables_number 1
_cell_length_a 8.1120
_cell_length_b 8.1120
_cell_length_c 8.1120
_cell_angle_alpha 90.00
_cell_angle_beta 90.00
_cell_angle_gamma 90.00
loop_
_symmetry_equiv_pos_as_xyz
'x,y,z'
loop_
_atom_site_label
_atom_site_fract_x
_atom_site_fract_y
_atom_site_fract_z
Ta1 0.3787 0.3787 0.3787
Ta2 0.3787 0.6213 0.6213
Ta3 0.6213 0.3787 0.6213
Ta4 0.6213 0.6213 0.3787
Ta5 0.8787 0.8787 0.8787
Ta6 0.8787 0.1213 0.1213
Ta7 0.1213 0.8787 0.1213
Ta8 0.1213 0.1213 0.8787
Cr1 0.1842 0.1842 0.1842
Cr2 0.1842 0.8158 0.8158
Cr3 0.8158 0.1842 0.8158
Cr4 0.8158 0.8158 0.1842
Cr5 0.6842 0.6842 0.6842
Cr6 0.6842 0.3158 0.3158
Cr7 0.3158 0.6842 0.3158
Cr8 0.3158 0.3158 0.6842
```

=====

Below is an optimized crystal structure of TaCr2, with properties calculated at the PBE-GGA level.

Properties
The value obtained for the total energy is -10.360 eV/atom. The space-group type is I4/mmm. The value obtained for the total magnetization is 0.0 μB/f.u. The density of states at the Fermi level is 0.618 states/eV per atom. The value obtained for the formation enthalpy at 0 K is 0.0062 eV/atom.

The structure in CIF format:
```
data_TaCr2
_symmetry_space_group_name_H-M 'P 1'
_symmetry_Int_Tables_number 1
_cell_length_a 3.0089
_cell_length_b 3.0089
_cell_length_c 5.0513
_cell_angle_alpha 107.33
_cell_angle_beta 107.33
_cell_angle_gamma 90.00
loop_
_symmetry_equiv_pos_as_xyz
'x,y,z'
loop_
_atom_site_label
_atom_site_fract_x
_atom_site_fract_y
_atom_site_fract_z
Cr1 0.6764 0.6764 0.3528
Cr2 0.3236 0.3236 0.6472
Ta1 0.0000 0.0000 0.0000
```

=====

Below is an optimized crystal structure of Ta5Cr, with properties calculated at the PBE-GGA level.

Properties
The value obtained for the total energy is -11.053 eV/atom. The space-group type is F-43m. The value obtained for the total magnetization is 0.3 μB/f.u. The density of states at the Fermi level is 0.883 states/eV per atom. The value obtained for the formation enthalpy at 0 K is 0.4285 eV/atom.

The structure in CIF format:
```
data_Ta5Cr
_symmetry_space_group_name_H-M 'P 1'
_symmetry_Int_Tables_number 1
_cell_length_a 5.3930
_cell_length_b 5.3930
_cell_length_c 5.3930
_cell_angle_alpha 60.00
_cell_angle_beta 60.00
_cell_angle_gamma 60.00
loop_
_symmetry_equiv_pos_as_xyz
'x,y,z'
loop_
_atom_site_label
_atom_site_fract_x
_atom_site_fract_y
_atom_site_fract_z
Ta1 0.6249 0.6249 0.1254
Ta2 0.2500 0.2500 0.2500
Ta3 0.6249 0.6249 0.6249
Ta4 0.1254 0.6249 0.6249
Ta5 0.6249 0.1254 0.6249
Cr1 0.0000 0.0000 0.0000
```

=====

Below is an optimized crystal structure of TaCr3, with properties calculated at the PBE-GGA level.

Properties
The value obtained for the total energy is -10.134 eV/atom. The space-group type is Immm. The value obtained for the total magnetization is 0.0 μB/f.u. The density of states at the Fermi level is 0.570 states/eV per atom. The value obtained for the formation enthalpy at 0 K is 0.0462 eV/atom.

The structure in CIF format:
```
data_TaCr3
_symmetry_space_group_name_H-M 'P 1'
_symmetry_Int_Tables_number 1
_cell_length_a 4.9222
_cell_length_b 4.9222
_cell_length_c 4.9222
_cell_angle_alpha 144.61
_cell_angle_beta 128.78
_cell_angle_gamma 63.79
loop_
_symmetry_equiv_pos_as_xyz
'x,y,z'
loop_
_atom_site_label
_atom_site_fract_x
_atom_site_fract_y
_atom_site_fract_z
Cr1 0.7579 0.7579 0.0000
Cr2 0.2421 0.2421 0.0000
Cr3 0.0000 0.5000 0.5000
Ta1 0.5000 0.0000 0.5000
```

=====

Below is an optimized crystal structure of Ta3Cr13, with properties calculated at the PBE-GGA level.

Properties
The value obtained for the total energy is -9.975 eV/atom. The space-group type is Amm2. The value obtained for the total magnetization is 0.4 μB/f.u. The density of states at the Fermi level is 0.718 states/eV per atom. The value obtained for the formation enthalpy at 0 K is 0.0668 eV/atom.

The structure in CIF format:
```
data_Ta3Cr13
_symmetry_space_group_name_H-M 'P 1'
_symmetry_Int_Tables_number 1
_cell_length_a 5.9243
_cell_length_b 5.9243
_cell_length_c 5.9121
_cell_angle_alpha 90.00
_cell_angle_beta 90.00
_cell_angle_gamma 90.49
loop_
_symmetry_equiv_pos_as_xyz
'x,y,z'
loop_
_atom_site_label
_atom_site_fract_x
_atom_site_fract_y
_atom_site_fract_z
Cr1 0.0025 0.0047 0.0050
Cr2 0.0060 0.4940 0.0057
Cr3 0.4953 0.4975 0.0050
Cr4 0.7597 0.2547 0.7500
Cr5 0.2453 0.7403 0.7500
Cr6 0.2402 0.2598 0.7500
Cr7 0.0025 0.0047 0.4950
Cr8 0.0060 0.4940 0.4943
Cr9 0.4953 0.4975 0.4950
Cr10 0.7577 0.7423 0.2500
Cr11 0.7591 0.2600 0.2500
Cr12 0.2400 0.7409 0.2500
Cr13 0.2396 0.2604 0.2500
Ta1 0.4943 0.0057 0.0035
Ta2 0.7622 0.7378 0.7500
Ta3 0.4943 0.0057 0.4965
```

=====

Below is an optimized crystal structure of TaCr2, with properties calculated at the PBE-GGA level.

Properties
The value obtained for the total energy is -9.209 eV/atom. The space-group type is P4/mmm. The value obtained for the total magnetization is 4.2 μB/f.u. The density of states at the Fermi level is 1.782 states/eV per atom. The value obtained for the formation enthalpy at 0 K is 1.1575 eV/atom.

The structure in CIF format:
```
data_TaCr2
_symmetry_space_group_name_H-M 'P 1'
_symmetry_Int_Tables_number 1
_cell_length_a 4.1650
_cell_length_b 4.1650
_cell_length_c 3.0930
_cell_angle_alpha 90.00
_cell_angle_beta 90.00
_cell_angle_gamma 90.00
loop_
_symmetry_equiv_pos_as_xyz
'x,y,z'
loop_
_atom_site_label
_atom_site_fract_x
_atom_site_fract_y
_atom_site_fract_z
Cr1 0.0000 0.5000 0.5000
Cr2 0.5000 0.0000 0.5000
Ta1 0.0000 0.0000 0.0000
```

=====

Below is an optimized crystal structure of TaCr2, with properties calculated at the PBE-GGA level.

Properties
The value obtained for the total energy is -10.494 eV/atom. The space-group type is P6_3/mmc. The value obtained for the total magnetization is 0.0 μB/f.u. The density of states at the Fermi level is 0.961 states/eV per atom. The value obtained for the formation enthalpy at 0 K is -0.1280 eV/atom.

The structure in CIF format:
```
data_TaCr2
_symmetry_space_group_name_H-M 'P 1'
_symmetry_Int_Tables_number 1
_cell_length_a 4.9010
_cell_length_b 4.9010
_cell_length_c 16.0422
_cell_angle_alpha 90.00
_cell_angle_beta 90.00
_cell_angle_gamma 120.00
loop_
_symmetry_equiv_pos_as_xyz
'x,y,z'
loop_
_atom_site_label
_atom_site_fract_x
_atom_site_fract_y
_atom_site_fract_z
Cr1 0.6667 0.3333 0.1246
Cr2 0.3333 0.6667 0.8754
Cr3 0.3333 0.6667 0.6246
Cr4 0.6667 0.3333 0.3754
Cr5 0.0000 0.5000 0.0000
Cr6 0.5000 0.5000 0.0000
Cr7 0.5000 0.0000 0.0000
Cr8 0.0000 0.5000 0.5000
Cr9 0.5000 0.5000 0.5000
Cr10 0.5000 0.0000 0.5000
Cr11 0.3268 0.1634 0.2500
Cr12 0.8366 0.1634 0.2500
Cr13 0.8366 0.6732 0.2500
Cr14 0.6732 0.8366 0.7500
Cr15 0.1634 0.8366 0.7500
Cr16 0.1634 0.3268 0.7500
Ta1 0.0000 0.0000 0.0947
Ta2 0.0000 0.0000 0.9053
Ta3 0.0000 0.0000 0.5947
Ta4 0.0000 0.0000 0.4053
Ta5 0.6667 0.3333 0.8441
Ta6 0.3333 0.6667 0.1559
Ta7 0.3333 0.6667 0.3441
Ta8 0.6667 0.3333 0.6559
```

=====

Below is an optimized crystal structure of TaCr, with properties calculated at the PBE-GGA level.

Properties
The value obtained for the total energy is -10.607 eV/atom. The space-group type is Cmmm. The value obtained for the total magnetization is 0.0 μB/f.u. The density of states at the Fermi level is 0.939 states/eV per atom. The value obtained for the formation enthalpy at 0 K is 0.1307 eV/atom.

The structure in CIF format:
```
data_TaCr
_symmetry_space_group_name_H-M 'P 1'
_symmetry_Int_Tables_number 1
_cell_length_a 3.1551
_cell_length_b 4.5658
_cell_length_c 4.1882
_cell_angle_alpha 90.00
_cell_angle_beta 90.00
_cell_angle_gamma 90.00
loop_
_symmetry_equiv_pos_as_xyz
'x,y,z'
loop_
_atom_site_label
_atom_site_fract_x
_atom_site_fract_y
_atom_site_fract_z
Cr1 0.5000 0.0000 0.5000
Cr2 0.0000 0.5000 0.5000
Ta1 0.0000 0.0000 0.0000
Ta2 0.5000 0.5000 0.0000
```

=====

Below is an optimized crystal structure of TaCr, with properties calculated at the PBE-GGA level.

Properties
The value obtained for the total energy is -10.346 eV/atom. The space-group type is R-3m. The value obtained for the total magnetization is 0.2 μB/f.u. The density of states at the Fermi level is 1.455 states/eV per atom. The value obtained for the formation enthalpy at 0 K is 0.3916 eV/atom.

The structure in CIF format:
```
data_TaCr
_symmetry_space_group_name_H-M 'P 1'
_symmetry_Int_Tables_number 1
_cell_length_a 4.3509
_cell_length_b 4.3509
_cell_length_c 4.3509
_cell_angle_alpha 40.30
_cell_angle_beta 40.30
_cell_angle_gamma 40.30
loop_
_symmetry_equiv_pos_as_xyz
'x,y,z'
loop_
_atom_site_label
_atom_site_fract_x
_atom_site_fract_y
_atom_site_fract_z
Cr1 0.0000 0.0000 0.0000
Ta1 0.5000 0.5000 0.5000
```

=====

Below is an optimized crystal structure of TaCr, with properties calculated at the PBE-GGA level.

Properties
The value obtained for the total energy is -8.274 eV/atom. The space-group type is F-43m. The value obtained for the total magnetization is 2.6 μB/f.u. The density of states at the Fermi level is 1.995 states/eV per atom. The value obtained for the formation enthalpy at 0 K is 2.4637 eV/atom.

The structure in CIF format:
```
data_TaCr
_symmetry_space_group_name_H-M 'P 1'
_symmetry_Int_Tables_number 1
_cell_length_a 4.0185
_cell_length_b 4.0185
_cell_length_c 4.0185
_cell_angle_alpha 60.00
_cell_angle_beta 60.00
_cell_angle_gamma 60.00
loop_
_symmetry_equiv_pos_as_xyz
'x,y,z'
loop_
_atom_site_label
_atom_site_fract_x
_atom_site_fract_y
_atom_site_fract_z
Cr1 0.0000 0.0000 0.0000
Ta1 0.7500 0.7500 0.7500
```